1.
A plane-wave DFT calculation with PBE was carried out for an optimized crystal structure of LiPaSi2.

## Properties
ΔE to the lowest computed polymorph   0.158 eV per atom
Raw formation energy   -246 meV/atom
SG   R-3m (166)
Final energy   -23.2 eV for the cell shown

Structure (extended XYZ):
```
4
Lattice="2.046 1.181 4.858 -2.046 1.181 4.858 0.000 -2.363 4.858" Properties=species:S:1:pos:R:3 pbc="T T T"
Li 0.000 0.000 0.000
Pa 0.000 0.000 7.287
Si 0.000 0.000 4.219
Si 0.000 0.000 10.355
```

***

2.
A plane-wave DFT calculation with PBE was carried out for an optimized crystal structure of KTcAg2.

## Properties
ΔE to the lowest computed polymorph   0.102 eV per atom
SG   C2/m (12)
ΔE_f   0.723 eV/atom
Final energy   -14.3 eV for the cell shown

Structure (extended XYZ):
```
4
Lattice="4.665 -1.369 0.000 4.665 1.369 0.000 -0.522 0.000 7.166" Properties=species:S:1:pos:R:3 pbc="T T T"
K 0.000 0.000 0.000
Tc 4.404 0.000 3.583
Ag 1.883 0.000 4.855
Ag 6.924 0.000 2.311
```